Record 1
PBE LaPd2Au, relaxed; formation energy = -2.79 eV per formula unit; density = 10.5 g/cm³
1.0
4.672 0.000 0.000
-2.336 4.046 0.000
0.000 0.000 13.718
La Pd Au
3 6 3
Cartesian
0.000 0.000 0.000
0.000 2.697 9.146
2.336 1.349 4.573
0.000 0.000 2.906
0.000 0.000 10.812
0.000 2.697 6.239
0.000 2.697 12.052
2.336 1.349 1.667
2.336 1.349 7.479
0.000 0.000 6.859
0.000 2.697 2.286
2.336 1.349 11.432

***

Record 2
PBE RbNaPtCl6, relaxed; density = 3.0 g/cm³; uncorrected formation energy = -1.117 eV/atom
1.0
6.897 0.000 0.000
-3.448 5.973 0.000
0.000 0.000 7.039
Rb Na Pt Cl
1 1 1 6
Cartesian
0.000 0.000 0.000
0.000 3.982 3.519
3.448 1.991 3.519
2.538 0.307 4.885
1.535 2.044 2.154
4.359 0.307 2.154
2.445 3.621 4.885
5.362 2.044 4.885
4.451 3.621 2.154

***

Repeat the first record exactly.
PBE LaPd2Au, relaxed; formation energy = -2.79 eV per formula unit; density = 10.5 g/cm³
1.0
4.672 0.000 0.000
-2.336 4.046 0.000
0.000 0.000 13.718
La Pd Au
3 6 3
Cartesian
0.000 0.000 0.000
0.000 2.697 9.146
2.336 1.349 4.573
0.000 0.000 2.906
0.000 0.000 10.812
0.000 2.697 6.239
0.000 2.697 12.052
2.336 1.349 1.667
2.336 1.349 7.479
0.000 0.000 6.859
0.000 2.697 2.286
2.336 1.349 11.432

***

Repeat the first record exactly.
PBE LaPd2Au, relaxed; formation energy = -2.79 eV per formula unit; density = 10.5 g/cm³
1.0
4.672 0.000 0.000
-2.336 4.046 0.000
0.000 0.000 13.718
La Pd Au
3 6 3
Cartesian
0.000 0.000 0.000
0.000 2.697 9.146
2.336 1.349 4.573
0.000 0.000 2.906
0.000 0.000 10.812
0.000 2.697 6.239
0.000 2.697 12.052
2.336 1.349 1.667
2.336 1.349 7.479
0.000 0.000 6.859
0.000 2.697 2.286
2.336 1.349 11.432

***

Which value of density does entry 1 give? 10.5 g/cm³